No. 1
! PuTc2Sn, relaxed, DFT GGA-PBE; values from VASP
&SYSTEM
  ibrav = 0, nat = 4, ntyp = 3
/
ATOMIC_SPECIES
Pu 244.00 Pu.upf
Tc 98.00 Tc.upf
Sn 118.71 Sn.upf
ATOMIC_POSITIONS crystal
Pu 0.000 0.000 0.000
Tc 0.000 0.500 0.500
Tc 0.500 0.000 0.500
Sn 0.500 0.500 0.000
CELL_PARAMETERS angstrom
4.554 0.000 0.000
0.000 4.554 0.000
0.000 0.000 3.496
! N(E_F) ... 7.2 states/eV per cell
! Magnetic moment ... 2.80 μB/cell
! SG ... No. 123
! Raw total energy ... -9.7939 eV/atom
! DFT formation energy ... -0.03 eV per atom
! Distance to the lowest polymorph of the same formula ... 0.19 eV/f.u.

***

No. 2
! LiHf2NiOs, relaxed, DFT GGA-PBE; values from VASP
&SYSTEM
  ibrav = 0, nat = 5, ntyp = 4
/
ATOMIC_SPECIES
Li 6.94 Li.upf
Hf 178.49 Hf.upf
Ni 58.69 Ni.upf
Os 190.23 Os.upf
ATOMIC_POSITIONS crystal
Li 0.000 0.000 0.000
Hf 0.000 0.500 0.500
Hf 0.500 0.000 0.500
Ni 0.000 0.000 0.500
Os 0.500 0.500 0.000
CELL_PARAMETERS angstrom
4.770 0.000 0.000
0.000 4.770 0.000
0.000 0.000 3.842
! N(E_F) ... 2.5 states/eV per cell
! Magnetic moment ... 0.00 μB/cell
! SG ... No. 123
! Raw total energy ... -7.3686 eV/atom
! DFT formation energy ... 0.40 eV per atom

***

No. 3
! Er4AlTl, relaxed, DFT GGA-PBE; values from VASP
&SYSTEM
  ibrav = 0, nat = 6, ntyp = 3
/
ATOMIC_SPECIES
Er 167.26 Er.upf
Al 26.98 Al.upf
Tl 204.38 Tl.upf
ATOMIC_POSITIONS crystal
Er 0.000 0.500 0.241
Er 0.000 0.500 0.759
Er 0.500 0.000 0.241
Er 0.500 0.000 0.759
Al 0.000 0.000 0.000
Tl 0.500 0.500 0.500
CELL_PARAMETERS angstrom
5.066 0.000 0.000
0.000 5.066 0.000
0.000 0.000 7.184
! N(E_F) ... 7.5 states/eV per cell
! Magnetic moment ... 0.00 μB/cell
! SG ... No. 123
! Raw total energy ... -4.0936 eV/atom
! DFT formation energy ... -0.03 eV per atom

***

No. 4
! Rb4As2Pd, relaxed, DFT GGA-PBE; values from VASP
&SYSTEM
  ibrav = 0, nat = 7, ntyp = 3
/
ATOMIC_SPECIES
Rb 85.47 Rb.upf
As 74.92 As.upf
Pd 106.42 Pd.upf
ATOMIC_POSITIONS crystal
Rb 0.127 0.127 0.127
Rb 0.290 0.290 0.290
Rb 0.710 0.710 0.710
Rb 0.873 0.873 0.873
As 0.416 0.416 0.416
As 0.584 0.584 0.584
Pd 0.500 0.500 0.500
CELL_PARAMETERS angstrom
2.978 1.719 9.487
-2.978 1.719 9.487
0.000 -3.438 9.487
! N(E_F) ... 4.2 states/eV per cell
! Magnetic moment ... 1.82 μB/cell
! SG ... No. 166
! Raw total energy ... -2.9390 eV/atom
! DFT formation energy ... -0.32 eV per atom

***

No. 5
! Y5Pt, relaxed, DFT GGA-PBE; values from VASP
&SYSTEM
  ibrav = 0, nat = 6, ntyp = 2
/
ATOMIC_SPECIES
Y 88.91 Y.upf
Pt 195.08 Pt.upf
ATOMIC_POSITIONS crystal
Y 0.000 0.000 0.000
Y 0.126 0.625 0.625
Y 0.625 0.126 0.625
Y 0.625 0.625 0.126
Y 0.625 0.625 0.625
Pt 0.250 0.250 0.250
CELL_PARAMETERS angstrom
0.000 4.428 4.428
4.428 0.000 4.428
4.428 4.428 0.000
! N(E_F) ... 8.2 states/eV per cell
! Magnetic moment ... 0.00 μB/cell
! SG ... No. 216
! Raw total energy ... -6.0588 eV/atom
! DFT formation energy ... 0.33 eV per atom
! Distance to the lowest polymorph of the same formula ... 4.38 eV/f.u.

***

No. 6
! CaCu2As, relaxed, DFT GGA-PBE; values from VASP
&SYSTEM
  ibrav = 0, nat = 4, ntyp = 3
/
ATOMIC_SPECIES
Ca 40.08 Ca.upf
Cu 63.55 Cu.upf
As 74.92 As.upf
ATOMIC_POSITIONS crystal
Ca 0.000 0.000 0.000
Cu 0.499 0.500 0.753
Cu 0.501 0.500 0.247
As 0.500 0.000 0.500
CELL_PARAMETERS angstrom
4.044 0.000 0.000
0.000 4.188 0.000
-0.009 0.000 4.842
! N(E_F) ... 2.3 states/eV per cell
! Magnetic moment ... 0.00 μB/cell
! SG ... No. 10
! Raw total energy ... -3.9927 eV/atom
! DFT formation energy ... -0.28 eV per atom